Cu3As2H2PbO10 | GGA-PBEsol | relaxed

a b c (Å): 5.8516 5.8516 13.7815
angles (deg): 91.60 100.92 119.20
With the nearest neighbours (Å) after each atom.
Sites, in units of the cell vectors:
Cu  0.0000  0.5000  0.0000  4 O 1.90-1.99
Cu  0.0000  0.5000  0.5000  4 O 1.90-2.03
Cu  0.0000  0.0000  0.0000  4 O 1.90-2.02
Cu  0.5000  0.5000  0.0000  4 O 1.90-2.03
Cu  0.0000  0.0000  0.5000  4 O 1.90-1.99
Cu  0.5000  0.0000  0.5000  4 O 1.90-2.02
As  0.3666  0.9128  0.8568  4 O 1.70-1.77
As  0.4440  0.4902  0.3568  4 O 1.70-1.77
As  0.5560  0.5098  0.6432  4 O 1.70-1.77
As  0.6334  0.0872  0.1432  4 O 1.70-1.77
H  0.2326  0.8516  0.6421  1 O 1.06
H  0.2906  0.4095  0.1421  1 O 1.06
H  0.7094  0.5905  0.8579  1 O 1.06
H  0.7674  0.1484  0.3579  1 O 1.06
Pb  0.0083  0.2583  0.7500  8 O 2.60-2.72
Pb  0.9917  0.7417  0.2500  8 O 2.60-2.72
O  0.2084  0.8551  0.5637  1 H 1.06
O  0.1963  0.7706  0.7368  1 H 1.42
O  0.2925  0.9092  0.1218  1 As 1.70
O  0.2683  0.6257  0.9162  1 As 1.77
O  0.3076  0.6669  0.3999  1 As 1.74
O  0.2095  0.3521  0.5838  1 As 1.77
O  0.7126  0.8293  0.6218  1 As 1.70
O  0.7670  0.9077  0.1001  1 As 1.74
O  0.2086  0.3554  0.0637  1 H 1.06
O  0.4662  0.5405  0.2368  1 H 1.42
O  0.5338  0.4595  0.7632  1 H 1.42
O  0.7914  0.6446  0.9363  1 H 1.06
O  0.2330  0.0923  0.8999  1 As 1.74
O  0.2874  0.1707  0.3782  1 As 1.70
O  0.7905  0.6479  0.4162  1 As 1.77
O  0.6924  0.3331  0.6001  1 As 1.74
O  0.7317  0.3743  0.0838  1 As 1.77
O  0.7075  0.0908  0.8782  1 As 1.70
O  0.8037  0.2294  0.2632  1 H 1.42
O  0.7916  0.1449  0.4363  1 H 1.06

Total DFT energy (no corrections): -207.54 eV/cell
Space group: C2/c (15)
Total moment: 5.991 Bohr magnetons per cell